MgCd2Ni GGA-PBEsol optimized geometry; E_form = -0.05 eV per atom; SG = Immm (71)
1.0
3.783 0.000 0.000
0.000 4.238 0.000
-1.892 -2.119 4.191
Ni Mg Cd
1 1 2
Direct
0.000 0.500 0.000 Ni
0.500 0.000 0.000 Mg
0.737 0.737 0.474 Cd
0.263 0.263 0.526 Cd



Na3GeTe3 GGA-PBEsol optimized geometry; formation energy from raw total energies = -623 meV per atom; SG = P2_1/c (14)
1.0
8.849 0.049 0.000
-4.334 7.630 0.000
0.000 0.000 12.696
Na Ge Te
12 4 12
Direct
0.510 0.515 0.349 Na
0.990 0.985 0.849 Na
0.490 0.485 0.651 Na
0.010 0.015 0.151 Na
0.694 0.470 0.943 Na
0.806 0.030 0.443 Na
0.306 0.530 0.057 Na
0.194 0.970 0.557 Na
0.750 0.285 0.229 Na
0.750 0.215 0.729 Na
0.250 0.715 0.771 Na
0.250 0.785 0.271 Na
0.381 0.033 0.990 Ge
0.119 0.467 0.490 Ge
0.619 0.967 0.010 Ge
0.881 0.533 0.510 Ge
0.385 0.140 0.800 Te
0.115 0.360 0.300 Te
0.615 0.860 0.200 Te
0.885 0.640 0.700 Te
0.099 0.743 0.024 Te
0.401 0.757 0.524 Te
0.901 0.257 0.976 Te
0.599 0.243 0.476 Te
0.417 0.260 0.131 Te
0.083 0.240 0.631 Te
0.583 0.740 0.869 Te
0.917 0.760 0.369 Te



CaAuSe2 GGA-PBEsol optimized geometry; E above lowest polymorph = 74.0 meV per atom; formation energy from raw total energies = -831 meV per atom; SG = Cm (8)
1.0
-0.834 2.766 -2.508
0.483 -2.621 -3.051
-5.068 -2.669 1.658
Ca Au Se
1 1 2
Direct
0.728 0.129 0.456 Ca
0.497 0.617 0.993 Au
0.006 0.123 0.012 Se
0.269 0.631 0.538 Se



SrCa2Zn GGA-PBEsol optimized geometry; E_form = -0.09 eV per atom; SG = P4mm (99)
1.0
-1.526 1.808 2.972
2.285 -1.926 2.345
6.513 6.779 -0.780
Sr Zn Ca
1 1 2
Direct
0.500 0.500 0.561 Sr
0.000 0.000 0.767 Zn
0.500 0.500 0.938 Ca
0.000 0.000 0.234 Ca



BaTlTc GGA-PBEsol optimized geometry; E_form = 0.89 eV per atom; SG = F-43m (216)
1.0
4.934 0.000 0.000
2.467 4.273 0.000
2.467 1.424 4.029
Ba Tc Tl
1 1 1
Direct
0.500 0.500 0.500 Ba
0.250 0.250 0.250 Tc
0.000 0.000 0.000 Tl



TlI GGA-PBEsol optimized geometry; E above lowest polymorph = 17.5 meV per atom; formation energy from raw total energies = -562 meV per atom; SG = Pm-3m (221)
1.0
-3.216 1.626 -2.005
-2.534 -1.383 2.944
0.488 3.528 2.078
I Tl
1 1
Direct
0.500 0.500 0.500 I
0.000 0.000 0.000 Tl



LiTc4Ir GGA-PBEsol optimized geometry; E_form = 0.40 eV per atom; SG = F-43m (216)
1.0
4.994 0.000 0.000
2.497 4.325 0.000
2.497 1.442 4.078
Ir Li Tc
1 1 4
Direct
0.750 0.750 0.750 Ir
0.000 0.000 0.000 Li
0.374 0.374 0.374 Tc
0.374 0.374 0.879 Tc
0.879 0.374 0.374 Tc
0.374 0.879 0.374 Tc



LiReRh2 GGA-PBEsol optimized geometry; E_form = 0.08 eV per atom; SG = I-4m2 (119)
1.0
3.628 0.000 0.000
0.000 3.628 0.000
-1.814 -1.814 3.986
Li Re Rh
1 1 2
Direct
0.500 0.500 0.000 Li
0.250 0.750 0.500 Re
0.000 0.000 0.000 Rh
0.750 0.250 0.500 Rh